{
  "formula": "La2AsPb",
  "functional": "PBE-GGA",
  "state": "optimized geometry",
  "lattice": [[8.3700, 0.0000, 0.0000], [0.0000, 8.3700, 0.0000], [4.1850, 4.1850, 3.6875]],
  "species": ["Pb", "Pb", "As", "As", "La", "La", "La", "La"],
  "frac_coords": [[0.7500, 0.2500, 0.5000], [0.0000, 0.0000, 0.0000], [0.2500, 0.7500, 0.5000], [0.5000, 0.5000, 0.0000], [0.5978, 0.1250, 0.2500], [0.8750, 0.8478, 0.7500], [0.1522, 0.6250, 0.2500], [0.3750, 0.4022, 0.7500]],
  "e_above_lowest_polymorph_ev_per_fu": 1.158,
  "space_group": "I-42d",
  "ef_ev_per_atom": -0.7827
}

{
  "formula": "LaAsPb3",
  "functional": "PBE-GGA",
  "state": "optimized geometry",
  "lattice": [[-4.3376, 0.9678, -4.1328], [1.3574, -5.2824, -2.6617], [-4.0217, -2.8268, 3.5590]],
  "species": ["Pb", "Pb", "Pb", "As", "La"],
  "frac_coords": [[0.0000, 0.0000, 0.5000], [0.5000, 0.0000, 0.0000], [0.0000, 0.5000, 0.0000], [0.5000, 0.5000, 0.5000], [0.0000, 0.0000, 0.0000]],
  "e_above_lowest_polymorph_ev_per_fu": 3.892,
  "space_group": "Pm-3m",
  "ef_ev_per_atom": 0.9420
}

{
  "formula": "La2AsPb",
  "functional": "PBE-GGA",
  "state": "optimized geometry",
  "lattice": [[-1.8851, -1.7170, -3.6824], [2.8126, -3.6311, 0.2532], [-9.6958, -4.1166, 6.8830]],
  "species": ["As", "As", "Pb", "Pb", "La", "La", "La", "La"],
  "frac_coords": [[0.2500, 0.1891, 0.3783], [0.7500, 0.8109, 0.6217], [0.7500, 0.5459, 0.0919], [0.2500, 0.4541, 0.9081], [0.7500, 0.9304, 0.8609], [0.7500, 0.6901, 0.3803], [0.2500, 0.3099, 0.6197], [0.2500, 0.0696, 0.1391]],
  "e_above_lowest_polymorph_ev_per_fu": 0.000,
  "space_group": "Cmcm",
  "ef_ev_per_atom": -1.0722
}

{
  "formula": "LaAsPb2",
  "functional": "PBE-GGA",
  "state": "optimized geometry",
  "lattice": [[4.1678, 0.0000, 0.0000], [0.0000, 4.1688, 0.0000], [0.0000, 0.0000, 6.5802]],
  "species": ["La", "Pb", "Pb", "As"],
  "frac_coords": [[0.5000, 0.5000, 0.7500], [0.0000, 0.0000, 0.4750], [0.0000, 0.0000, 0.0250], [0.5000, 0.5000, 0.2500]],
  "e_above_lowest_polymorph_ev_per_fu": 1.314,
  "space_group": "P4/mmm",
  "ef_ev_per_atom": -0.2381
}

> What is the formula in the first record?

La2AsPb